DyPaIrOs: relaxed, PBE.

Cell: 4.8691 4.8691 4.8691 Å, 60.00 60.00 60.00°
Fractional positions:
Dy: 0.0000 0.0000 0.0000
Pa: 0.5000 0.5000 0.5000
Ir: 0.2500 0.2500 0.2500
Os: 0.7500 0.7500 0.7500

## Properties
ΔH_f (0 K) = -0.449 eV/atom
crystal system = cubic
symmetry = F-43m (216)
spin magnetization = 0.000 μB/f.u.

---

LiPm2Pb: relaxed, PBE.

Cell: 3.8764 3.8764 7.5869 Å, 90.00 90.00 90.00°
Fractional positions:
Li: 0.0000 0.0000 0.0000
Pm: 0.5000 0.5000 0.2418
Pm: 0.5000 0.5000 0.7582
Pb: 0.0000 0.0000 0.5000

## Properties
ΔH_f (0 K) = -0.210 eV/atom
crystal system = tetragonal
symmetry = P4/mmm (123)
spin magnetization = 0.494 μB/f.u.